[1]
A plane-wave DFT calculation with GGA-PBE was carried out for a geometry-optimized UCo3H3 structure. Values from VASP.

Computed properties:
- SG: No. 2
- Offset from the most stable computed form: 0.0 meV/atom
- Total magnetization: 0.00 μB per formula unit

The structure in Quantum ESPRESSO input format:
```
&SYSTEM
  ibrav = 0, nat = 14, ntyp = 3
/
ATOMIC_SPECIES
U 238.03 U.upf
Co 58.93 Co.upf
H 1.01 H.upf
CELL_PARAMETERS angstrom
4.835 0.000 0.000
-1.469 4.831 0.000
-1.991 -1.722 5.833
ATOMIC_POSITIONS angstrom
U -0.790 1.086 1.427
U 2.165 2.024 4.406
Co -0.939 3.370 1.550
Co -0.178 0.060 3.466
Co -0.553 2.614 3.918
Co 1.928 0.496 1.916
Co 1.553 3.050 2.367
Co 2.314 -0.260 4.283
H -1.343 -0.505 5.261
H 0.427 3.987 0.877
H -0.043 1.280 4.650
H 1.418 1.830 1.183
H 0.948 -0.877 4.956
H 2.718 3.615 0.573
```

---

[2]
A plane-wave DFT calculation with GGA-PBE was carried out for a geometry-optimized MnCu2Pb structure. Values from VASP.

Computed properties:
- SG: No. 8
- Energy relative to the elements: 0.350 eV per atom
- Total magnetization: 4.08 μB per formula unit

The structure in Quantum ESPRESSO input format:
```
&SYSTEM
  ibrav = 0, nat = 4, ntyp = 3
/
ATOMIC_SPECIES
Mn 54.94 Mn.upf
Cu 63.55 Cu.upf
Pb 207.20 Pb.upf
CELL_PARAMETERS angstrom
4.319 -1.739 0.000
4.319 1.739 0.000
-1.304 0.000 4.564
ATOMIC_POSITIONS angstrom
Mn 0.000 0.000 0.000
Cu 1.232 0.000 3.675
Cu 3.790 0.000 2.796
Pb 6.231 0.000 1.453
```

---

no.,VASP energy (eV/atom)
1,-6.1818
2,-4.9178